Entry 1:
VASP calculation (GGA-PBE) on a relaxed Sc3Zn20Ni6 crystal.

Geometry as CIF:
```
data_Sc3Zn20Ni6
_cell_length_a 12.189
_cell_length_b 12.189
_cell_length_c 12.189
_cell_angle_alpha 90.00
_cell_angle_beta 90.00
_cell_angle_gamma 90.00
_symmetry_space_group_name_H-M 'F m -3 m'
_symmetry_Int_Tables_number 225
_symmetry_space_group_name_Hall '-F 4 2 3'
loop_
_atom_site_label
_atom_site_fract_x
_atom_site_fract_y
_atom_site_fract_z
Sc1 0.000 0.000 0.000
Sc2 0.250 0.250 0.250
Zn1 0.000 0.175 0.175
Zn2 0.114 0.114 0.386
Ni1 0.000 0.000 0.262
```

---

Entry 2:
VASP calculation (GGA-PBE) on a relaxed ScZnNi2 crystal.

Geometry as CIF:
```
data_ScZnNi2
_cell_length_a 3.857
_cell_length_b 3.857
_cell_length_c 16.772
_cell_angle_alpha 90.00
_cell_angle_beta 90.00
_cell_angle_gamma 90.00
_symmetry_space_group_name_H-M 'I -4 2 d'
_symmetry_Int_Tables_number 122
_symmetry_space_group_name_Hall 'I -4 2bw'
loop_
_atom_site_label
_atom_site_fract_x
_atom_site_fract_y
_atom_site_fract_z
Sc1 0.000 0.000 0.000
Zn1 0.000 0.000 0.500
Ni1 0.200 0.250 0.625
```

---

Entry 3:
VASP calculation (GGA-PBE) on a relaxed Sc2ZnNi9 crystal.

Geometry as CIF:
```
data_Sc2ZnNi9
_cell_length_a 4.7864
_cell_length_b 4.7864
_cell_length_c 23.6785
_cell_angle_alpha 90.00
_cell_angle_beta 90.00
_cell_angle_gamma 120.00
_symmetry_space_group_name_H-M 'R -3 m'
_symmetry_Int_Tables_number 166
_symmetry_space_group_name_Hall '-R 3 2"'
loop_
_atom_site_label
_atom_site_fract_x
_atom_site_fract_y
_atom_site_fract_z
Sc1 0.0000 0.0000 0.1365
Zn1 0.0000 0.0000 0.0000
Ni1 0.0000 0.0000 0.3334
Ni2 0.0000 0.0000 0.5000
Ni3 0.0028 0.5014 0.9161
```

Calculated values
**Offset from the most stable computed form**: 0.045 eV/atom

---

Entry 4:
VASP calculation (GGA-PBE) on a relaxed Sc2Zn3Ni4 crystal.

Geometry as CIF:
```
data_Sc2Zn3Ni4
_cell_length_a 5.151
_cell_length_b 14.954
_cell_length_c 6.767
_cell_angle_alpha 90.00
_cell_angle_beta 90.00
_cell_angle_gamma 90.00
_symmetry_space_group_name_H-M 'C m c e'
_symmetry_Int_Tables_number 64
_symmetry_space_group_name_Hall '-C 2ac 2'
loop_
_atom_site_label
_atom_site_fract_x
_atom_site_fract_y
_atom_site_fract_z
Sc1 0.000 0.102 0.091
Zn1 0.000 0.000 0.500
Zn2 0.250 0.238 0.750
Ni1 0.000 0.164 0.481
Ni2 0.250 0.073 0.750
```

---

Entry 5:
VASP calculation (GGA-PBE) on a relaxed ScZnNi crystal.

Geometry as CIF:
```
data_ScZnNi
_cell_length_a 6.320
_cell_length_b 3.947
_cell_length_c 7.573
_cell_angle_alpha 90.00
_cell_angle_beta 90.00
_cell_angle_gamma 90.00
_symmetry_space_group_name_H-M 'P n m a'
_symmetry_Int_Tables_number 62
_symmetry_space_group_name_Hall '-P 2ac 2n'
loop_
_atom_site_label
_atom_site_fract_x
_atom_site_fract_y
_atom_site_fract_z
Sc1 0.038 0.250 0.180
Zn1 0.144 0.250 0.558
Ni1 0.247 0.750 0.373
```

---

Entry 6:
VASP calculation (GGA-PBE) on a relaxed Sc4ZnNi2 crystal.

Geometry as CIF:
```
data_Sc4ZnNi2
_cell_length_a 4.5475
_cell_length_b 4.5475
_cell_length_c 21.7042
_cell_angle_alpha 90.00
_cell_angle_beta 90.00
_cell_angle_gamma 120.00
_symmetry_space_group_name_H-M 'R -3 m'
_symmetry_Int_Tables_number 166
_symmetry_space_group_name_Hall '-R 3 2"'
loop_
_atom_site_label
_atom_site_fract_x
_atom_site_fract_y
_atom_site_fract_z
Sc1 0.0000 0.0000 0.1178
Sc2 0.0000 0.0000 0.3699
Zn1 0.0000 0.0000 0.5000
Ni1 0.0000 0.0000 0.2462
```

Calculated values
**Offset from the most stable computed form**: 0.000 eV/atom

---

Entry 7:
VASP calculation (GGA-PBE) on a relaxed ScZn3Ni crystal.

Geometry as CIF:
```
data_ScZn3Ni
_cell_length_a 5.099
_cell_length_b 5.099
_cell_length_c 5.099
_cell_angle_alpha 90.00
_cell_angle_beta 90.00
_cell_angle_gamma 90.00
_symmetry_space_group_name_H-M 'P m -3 m'
_symmetry_Int_Tables_number 221
_symmetry_space_group_name_Hall '-P 4 2 3'
loop_
_atom_site_label
_atom_site_fract_x
_atom_site_fract_y
_atom_site_fract_z
Sc1 0.000 0.000 0.000
Zn1 0.000 0.000 0.500
Ni1 0.500 0.500 0.500
```

Calculated values
**Offset from the most stable computed form**: 1.608 eV/atom

---

Entry 8:
VASP calculation (GGA-PBE) on a relaxed ScZn12Ni6 crystal.

Geometry as CIF:
```
data_ScZn12Ni6
_cell_length_a 10.9841
_cell_length_b 10.9841
_cell_length_c 8.0505
_cell_angle_alpha 90.00
_cell_angle_beta 90.00
_cell_angle_gamma 120.00
_symmetry_space_group_name_H-M 'R -3 m'
_symmetry_Int_Tables_number 166
_symmetry_space_group_name_Hall '-R 3 2"'
loop_
_atom_site_label
_atom_site_fract_x
_atom_site_fract_y
_atom_site_fract_z
Sc1 0.0000 0.0000 0.0000
Zn1 0.0000 0.3851 0.5000
Zn2 0.0833 0.1667 0.3025
Ni1 0.0571 0.5285 0.2423
```

---

Entry 9:
VASP calculation (GGA-PBE) on a relaxed ScZn4Ni15 crystal.

Geometry as CIF:
```
data_ScZn4Ni15
_cell_length_a 3.615
_cell_length_b 3.615
_cell_length_c 17.945
_cell_angle_alpha 90.00
_cell_angle_beta 90.00
_cell_angle_gamma 90.00
_symmetry_space_group_name_H-M 'P 4/m m m'
_symmetry_Int_Tables_number 123
_symmetry_space_group_name_Hall '-P 4 2'
loop_
_atom_site_label
_atom_site_fract_x
_atom_site_fract_y
_atom_site_fract_z
Sc1 0.000 0.000 0.000
Zn1 0.000 0.000 0.206
Zn2 0.000 0.000 0.402
Ni1 0.000 0.500 0.107
Ni2 0.000 0.500 0.303
Ni3 0.000 0.500 0.500
Ni4 0.500 0.500 0.000
Ni5 0.500 0.500 0.204
Ni6 0.500 0.500 0.402
```

---

Entry 10:
VASP calculation (GGA-PBE) on a relaxed Sc3ZnNi4 crystal.

Geometry as CIF:
```
data_Sc3ZnNi4
_cell_length_a 4.3760
_cell_length_b 4.3760
_cell_length_c 21.5686
_cell_angle_alpha 90.00
_cell_angle_beta 90.00
_cell_angle_gamma 120.00
_symmetry_space_group_name_H-M 'R -3 m'
_symmetry_Int_Tables_number 166
_symmetry_space_group_name_Hall '-R 3 2"'
loop_
_atom_site_label
_atom_site_fract_x
_atom_site_fract_y
_atom_site_fract_z
Sc1 0.0000 0.0000 0.0000
Sc2 0.0000 0.0000 0.2444
Zn1 0.0000 0.0000 0.5000
Ni1 0.0000 0.0000 0.1237
Ni2 0.0000 0.0000 0.3754
```

---

Entry 11:
VASP calculation (GGA-PBE) on a relaxed Sc12ZnNi5 crystal.

Geometry as CIF:
```
data_Sc12ZnNi5
_cell_length_a 8.723
_cell_length_b 8.759
_cell_length_c 9.144
_cell_angle_alpha 90.00
_cell_angle_beta 90.00
_cell_angle_gamma 90.00
_symmetry_space_group_name_H-M 'I m m m'
_symmetry_Int_Tables_number 71
_symmetry_space_group_name_Hall '-I 2 2'
loop_
_atom_site_label
_atom_site_fract_x
_atom_site_fract_y
_atom_site_fract_z
Sc1 0.000 0.204 0.175
Sc2 0.181 0.223 0.500
Sc3 0.193 0.500 0.267
Zn1 0.000 0.500 0.000
Ni1 0.000 0.000 0.373
Ni2 0.000 0.500 0.500
Ni3 0.148 0.000 0.000
```

---

Entry 12:
VASP calculation (GGA-PBE) on a relaxed Sc5ZnNi crystal.

Geometry as CIF:
```
data_Sc5ZnNi
_cell_length_a 8.138
_cell_length_b 6.642
_cell_length_c 11.211
_cell_angle_alpha 90.00
_cell_angle_beta 103.68
_cell_angle_gamma 90.00
_symmetry_space_group_name_H-M 'C 1 2/c 1'
_symmetry_Int_Tables_number 15
_symmetry_space_group_name_Hall '-C 2yc'
loop_
_atom_site_label
_atom_site_fract_x
_atom_site_fract_y
_atom_site_fract_z
Sc1 0.000 0.004 0.250
Sc2 0.137 0.339 0.079
Sc3 0.247 0.331 0.376
Zn1 0.000 0.406 0.750
Ni1 0.000 0.000 0.000
```

---

Entry 13:
VASP calculation (GGA-PBE) on a relaxed Sc7Zn2Ni2 crystal.

Geometry as CIF:
```
data_Sc7Zn2Ni2
_cell_length_a 7.114
_cell_length_b 10.218
_cell_length_c 6.446
_cell_angle_alpha 90.00
_cell_angle_beta 90.00
_cell_angle_gamma 90.00
_symmetry_space_group_name_H-M 'C m m m'
_symmetry_Int_Tables_number 65
_symmetry_space_group_name_Hall '-C 2 2'
loop_
_atom_site_label
_atom_site_fract_x
_atom_site_fract_y
_atom_site_fract_z
Sc1 0.000 0.000 0.000
Sc2 0.000 0.500 0.248
Sc3 0.250 0.250 0.257
Zn1 0.172 0.000 0.500
Ni1 0.000 0.294 0.000
```

---

Entry 14:
VASP calculation (GGA-PBE) on a relaxed ZrScZnNi crystal.

Geometry as CIF:
```
data_ZrScZnNi
_cell_length_a 6.547
_cell_length_b 6.547
_cell_length_c 6.547
_cell_angle_alpha 90.00
_cell_angle_beta 90.00
_cell_angle_gamma 90.00
_symmetry_space_group_name_H-M 'F -4 3 m'
_symmetry_Int_Tables_number 216
_symmetry_space_group_name_Hall 'F -4 2 3'
loop_
_atom_site_label
_atom_site_fract_x
_atom_site_fract_y
_atom_site_fract_z
Zr1 0.000 0.000 0.000
Sc1 0.000 0.000 0.500
Zn1 0.250 0.250 0.750
Ni1 0.250 0.250 0.250
```

---

Entry 15:
VASP calculation (GGA-PBE) on a relaxed ZrSc3Ni4 crystal.

Geometry as CIF:
```
data_ZrSc3Ni4
_cell_length_a 4.5053
_cell_length_b 4.5053
_cell_length_c 22.0374
_cell_angle_alpha 90.00
_cell_angle_beta 90.00
_cell_angle_gamma 120.00
_symmetry_space_group_name_H-M 'R -3 m'
_symmetry_Int_Tables_number 166
_symmetry_space_group_name_Hall '-R 3 2"'
loop_
_atom_site_label
_atom_site_fract_x
_atom_site_fract_y
_atom_site_fract_z
Zr1 0.0000 0.0000 0.0000
Sc1 0.0000 0.0000 0.2478
Sc2 0.0000 0.0000 0.5000
Ni1 0.0000 0.0000 0.1225
Ni2 0.0000 0.0000 0.3724
```

---

Entry 16:
VASP calculation (GGA-PBE) on a relaxed ZrSc4Ni5 crystal.

Geometry as CIF:
```
data_ZrSc4Ni5
_cell_length_a 3.161
_cell_length_b 3.161
_cell_length_c 16.124
_cell_angle_alpha 90.00
_cell_angle_beta 90.00
_cell_angle_gamma 90.00
_symmetry_space_group_name_H-M 'P 4/m m m'
_symmetry_Int_Tables_number 123
_symmetry_space_group_name_Hall '-P 4 2'
loop_
_atom_site_label
_atom_site_fract_x
_atom_site_fract_y
_atom_site_fract_z
Zr1 0.000 0.000 0.000
Sc1 0.000 0.000 0.202
Sc2 0.000 0.000 0.401
Ni1 0.500 0.500 0.099
Ni2 0.500 0.500 0.302
Ni3 0.500 0.500 0.500
```

---

Entry 17:
VASP calculation (GGA-PBE) on a relaxed ZrScNi2 crystal.

Geometry as CIF:
```
data_ZrScNi2
_cell_length_a 3.162
_cell_length_b 4.159
_cell_length_c 10.021
_cell_angle_alpha 90.00
_cell_angle_beta 90.00
_cell_angle_gamma 90.00
_symmetry_space_group_name_H-M 'I m m 2'
_symmetry_Int_Tables_number 44
_symmetry_space_group_name_Hall 'I 2 -2'
loop_
_atom_site_label
_atom_site_fract_x
_atom_site_fract_y
_atom_site_fract_z
Zr1 0.000 0.000 0.000
Sc1 0.000 0.500 0.221
Ni1 0.000 0.000 0.451
Ni2 0.000 0.500 0.760
```

---

Entry 18:
VASP calculation (GGA-PBE) on a relaxed ZrScNi3 crystal.

Geometry as CIF:
```
data_ZrScNi3
_cell_length_a 4.592
_cell_length_b 4.592
_cell_length_c 4.592
_cell_angle_alpha 90.00
_cell_angle_beta 90.00
_cell_angle_gamma 90.00
_symmetry_space_group_name_H-M 'P m -3 m'
_symmetry_Int_Tables_number 221
_symmetry_space_group_name_Hall '-P 4 2 3'
loop_
_atom_site_label
_atom_site_fract_x
_atom_site_fract_y
_atom_site_fract_z
Zr1 0.000 0.000 0.000
Sc1 0.500 0.500 0.500
Ni1 0.000 0.000 0.500
```

Calculated values
**Offset from the most stable computed form**: 0.082 eV/atom

---

Entry 19:
VASP calculation (GGA-PBE) on a relaxed Zr5ScNi6 crystal.

Geometry as CIF:
```
data_Zr5ScNi6
_cell_length_a 14.095
_cell_length_b 6.591
_cell_length_c 4.486
_cell_angle_alpha 90.00
_cell_angle_beta 108.42
_cell_angle_gamma 90.00
_symmetry_space_group_name_H-M 'C 1 2/m 1'
_symmetry_Int_Tables_number 12
_symmetry_space_group_name_Hall '-C 2y'
loop_
_atom_site_label
_atom_site_fract_x
_atom_site_fract_y
_atom_site_fract_z
Zr1 0.000 0.000 0.000
Zr2 0.158 0.000 0.658
Zr3 0.171 0.500 0.671
Sc1 0.000 0.500 0.000
Ni1 0.000 0.276 0.500
Ni2 0.171 0.264 0.172
```

---

Entry 20:
VASP calculation (GGA-PBE) on a relaxed ZrScNi2 crystal.

Geometry as CIF:
```
data_ZrScNi2
_cell_length_a 4.499
_cell_length_b 4.499
_cell_length_c 3.223
_cell_angle_alpha 90.00
_cell_angle_beta 90.00
_cell_angle_gamma 90.00
_symmetry_space_group_name_H-M 'P 4/m m m'
_symmetry_Int_Tables_number 123
_symmetry_space_group_name_Hall '-P 4 2'
loop_
_atom_site_label
_atom_site_fract_x
_atom_site_fract_y
_atom_site_fract_z
Zr1 0.000 0.000 0.000
Sc1 0.500 0.500 0.000
Ni1 0.000 0.500 0.500
```

---

Number 1: density 6.59 g/cm3, ΔE_f -79 meV per atom, total DFT energy (no corrections) -0.2064 Ry/atom. Number 2: density 6.06 g/cm3, ΔE_f 34 meV per atom, total DFT energy (no corrections) -0.3497 Ry/atom. Number 3: density 7.25 g/cm3, ΔE_f -254 meV per atom, total DFT energy (no corrections) -0.4227 Ry/atom. Number 4: density 6.64 g/cm3, ΔE_f -374 meV per atom, total DFT energy (no corrections) -0.3510 Ry/atom. Number 5: density 5.94 g/cm3, ΔE_f -465 meV per atom, total DFT energy (no corrections) -0.3621 Ry/atom. Number 6: density 4.65 g/cm3, ΔE_f -337 meV per atom, total DFT energy (no corrections) -0.4255 Ry/atom. Number 7: density 3.76 g/cm3, ΔE_f 1270 meV per atom, total DFT energy (no corrections) -0.1409 Ry/atom. Number 8: density 7.00 g/cm3, ΔE_f -53 meV per atom, total DFT energy (no corrections) -0.2217 Ry/atom. Number 9: density 8.41 g/cm3, ΔE_f -162 meV per atom, total DFT energy (no corrections) -0.3726 Ry/atom. Number 10: density 6.06 g/cm3, ΔE_f -444 meV per atom, total DFT energy (no corrections) -0.4313 Ry/atom. Number 11: density 4.27 g/cm3, ΔE_f -342 meV per atom, total DFT energy (no corrections) -0.4586 Ry/atom. Number 12: density 3.94 g/cm3, ΔE_f -100 meV per atom, total DFT energy (no corrections) -0.4138 Ry/atom. Number 13: density 3.99 g/cm3, ΔE_f -142 meV per atom, total DFT energy (no corrections) -0.4009 Ry/atom. Number 14: density 6.16 g/cm3, ΔE_f -322 meV per atom, total DFT energy (no corrections) -0.4267 Ry/atom. Number 15: density 5.93 g/cm3, ΔE_f -473 meV per atom, total DFT energy (no corrections) -0.5003 Ry/atom. Number 16: density 5.82 g/cm3, ΔE_f -466 meV per atom, total DFT energy (no corrections) -0.4957 Ry/atom. Number 17: density 6.39 g/cm3, ΔE_f -280 meV per atom, total DFT energy (no corrections) -0.5064 Ry/atom. Number 18: density 5.35 g/cm3, ΔE_f 604 meV per atom, total DFT energy (no corrections) -0.4293 Ry/atom. Number 19: density 7.17 g/cm3, ΔE_f -375 meV per atom, total DFT energy (no corrections) -0.5406 Ry/atom. Number 20: density 6.45 g/cm3, ΔE_f -425 meV per atom, total DFT energy (no corrections) -0.5171 Ry/atom.